The following is a PBE+U calculation of a geometry-optimized Na3MnIn2O6 structure, from Alexandria.

Geometry as CIF:
```
data_Na3MnIn2O6
_chemical_formula_sum 'Na6 Mn2 In4 O12'
_cell_length_a 5.5210
_cell_length_b 9.6215
_cell_length_c 5.7791
_cell_angle_alpha 90.00
_cell_angle_beta 108.70
_cell_angle_gamma 90.00
_symmetry_space_group_name_H-M 'C 1 2/m 1'
_symmetry_Int_Tables_number 12
loop_
_symmetry_equiv_pos_as_xyz
'x,y,z'
'-x,-y,-z'
'-x,y,-z'
'x,-y,z'
'x+1/2,y+1/2,z'
'-x+1/2,-y+1/2,-z'
'-x+1/2,y+1/2,-z'
'x+1/2,-y+1/2,z'
loop_
_atom_site_label
_atom_site_fract_x
_atom_site_fract_y
_atom_site_fract_z
Na1 0.0000 0.0000 0.0000
Na2 0.0000 0.3361 0.0000
Mn1 0.0000 0.5000 0.5000
In1 0.0000 0.1672 0.5000
O1 0.2248 0.3436 0.7086
O2 0.2402 0.5000 0.2963
```

Properties
As for the total magnetization: 4.00 μB per cell. The total energy is -129.88 eV/cell.